No. 1
The following is a PBE calculation of a relaxed Tl4Hg2Pb crystal, from Alexandria via LeMat-Bulk.

## Properties
Energy above the lowest structure with this stoichiometry, meV/atom: 3
Electronic total energy, Ry per atom: -0.144
SG: Cmmm, No. 65
ΔE_f, meV/atom: 10

Lattice parameters (Å, degrees): 15.9487 15.9487 3.6426 90.00 90.00 166.71
Closest atoms and distances in Å follow each position.
Element x y z (fractional)
Tl 0.0720 0.9280 0.0000  4 Pb 3.45, 8 Tl 3.50-3.69
Tl 0.3536 0.6464 0.5000  4 Hg 3.33, 8 Tl 3.50-3.69
Tl 0.6464 0.3536 0.5000  4 Hg 3.33, 8 Tl 3.50-3.69
Tl 0.9280 0.0720 0.0000  4 Pb 3.45, 8 Tl 3.50-3.69
Hg 0.2122 0.7878 0.0000  2 Hg 3.02, 4 Tl 3.33
Hg 0.7878 0.2122 0.0000  2 Hg 3.02, 4 Tl 3.33
Pb 0.5000 0.5000 0.5000  8 Tl 3.45, 4 Pb 3.64-3.69

=====

No. 2
The following is a PBE calculation of a relaxed Tl2Hg3Pb2 crystal, from Alexandria via LeMat-Bulk.

## Properties
Energy above the lowest structure with this stoichiometry, meV/atom: 0
Electronic total energy, Ry per atom: -0.135
SG: C2/m, No. 12
ΔE_f, meV/atom: 28

Lattice parameters (Å, degrees): 6.0078 6.0078 10.9454 104.40 104.40 32.24
Closest atoms and distances in Å follow each position.
Element x y z (fractional)
Tl 0.1499 0.1499 0.0772  5 Tl 3.34-3.61, 5 Pb 3.41-3.64, 2 Hg 3.49
Tl 0.8501 0.8501 0.9228  5 Tl 3.34-3.61, 5 Pb 3.41-3.64, 2 Hg 3.49
Hg 0.0000 0.0000 0.5000  4 Hg 3.09-3.34, 4 Pb 3.34
Hg 0.2708 0.2708 0.6326  5 Hg 3.09-3.34, 1 Pb 3.20
Hg 0.7292 0.7292 0.3674  5 Hg 3.09-3.34, 1 Pb 3.20
Pb 0.4487 0.4487 0.2272  3 Hg 3.20-3.34, 2 Pb 3.34, 3 Tl 3.41-3.58
Pb 0.5513 0.5513 0.7728  3 Hg 3.20-3.34, 2 Pb 3.34, 3 Tl 3.41-3.58

=====

No. 3
The following is a PBE calculation of a relaxed Tl6Hg7Pb16 crystal, from Alexandria via LeMat-Bulk.

## Properties
Electronic total energy, Ry per atom: -0.189
SG: Fm-3m, No. 225
ΔE_f, meV/atom: 41

Lattice parameters (Å, degrees): 10.9081 10.9081 10.9081 60.00 60.00 60.00
Closest atoms and distances in Å follow each position.
Element x y z (fractional)
Tl 0.2132 0.2132 0.7868  8 Pb 3.65-3.67, 4 Hg 3.90
Tl 0.2132 0.7868 0.2132  8 Pb 3.65-3.67, 4 Hg 3.90
Tl 0.2132 0.7868 0.7868  8 Pb 3.65-3.67, 4 Hg 3.90
Tl 0.7868 0.2132 0.2132  8 Pb 3.65-3.67, 4 Hg 3.90
Tl 0.7868 0.2132 0.7868  8 Pb 3.65-3.67, 4 Hg 3.90
Tl 0.7868 0.7868 0.2132  8 Pb 3.65-3.67, 4 Hg 3.90
Hg 0.0000 0.0000 0.5000  8 Pb 3.15-3.40
Hg 0.0000 0.5000 0.0000  8 Pb 3.15-3.40
Hg 0.0000 0.5000 0.5000  8 Pb 3.15-3.40
Hg 0.5000 0.0000 0.0000  8 Pb 3.15-3.40
Hg 0.5000 0.0000 0.5000  8 Pb 3.15-3.40
Hg 0.5000 0.5000 0.0000  8 Pb 3.15-3.40
Hg 0.5000 0.5000 0.5000  8 Pb 3.18
Pb 0.1433 0.6189 0.6189  4 Hg 3.18-3.40, 3 Pb 3.49
Pb 0.1636 0.1636 0.1636  3 Hg 3.15, 3 Pb 3.49
Pb 0.1636 0.1636 0.5093  3 Hg 3.15, 3 Pb 3.49
Pb 0.1636 0.5093 0.1636  3 Hg 3.15, 3 Pb 3.49
Pb 0.3811 0.3811 0.3811  4 Hg 3.18-3.40, 3 Pb 3.49
Pb 0.3811 0.3811 0.8567  4 Hg 3.18-3.40, 3 Pb 3.49
Pb 0.3811 0.8567 0.3811  4 Hg 3.18-3.40, 3 Pb 3.49
Pb 0.4907 0.8364 0.8364  3 Hg 3.15, 3 Pb 3.49
Pb 0.5093 0.1636 0.1636  3 Hg 3.15, 3 Pb 3.49
Pb 0.6189 0.1433 0.6189  4 Hg 3.18-3.40, 3 Pb 3.49
Pb 0.6189 0.6189 0.1433  4 Hg 3.18-3.40, 3 Pb 3.49
Pb 0.6189 0.6189 0.6189  4 Hg 3.18-3.40, 3 Pb 3.49
Pb 0.8364 0.4907 0.8364  3 Hg 3.15, 3 Pb 3.49
Pb 0.8364 0.8364 0.4907  3 Hg 3.15, 3 Pb 3.49
Pb 0.8364 0.8364 0.8364  3 Hg 3.15, 3 Pb 3.49
Pb 0.8567 0.3811 0.3811  4 Hg 3.18-3.40, 3 Pb 3.49

=====

No. 4
The following is a PBE calculation of a relaxed TlHg2Pb crystal, from Alexandria via LeMat-Bulk.

## Properties
Electronic total energy, Ry per atom: -0.121
SG: Cmmm, No. 65
ΔE_f, meV/atom: 18

Lattice parameters (Å, degrees): 3.3894 3.3894 11.1934 90.00 90.00 115.04
Closest atoms and distances in Å follow each position.
Element x y z (fractional)
Tl 0.0000 0.0000 0.0000  4 Hg 3.34, 6 Tl 3.39-3.64
Hg 0.5000 0.5000 0.2498  2 Tl 3.34, 2 Pb 3.34, 6 Hg 3.39-3.64
Hg 0.5000 0.5000 0.7502  2 Tl 3.34, 2 Pb 3.34, 6 Hg 3.39-3.64
Pb 0.0000 0.0000 0.5000  4 Hg 3.34, 6 Pb 3.39-3.64

=====

What is the ΔE_f in the second record?
28 meV/atom

=====

Repeat the second record exactly.
The following is a PBE calculation of a relaxed Tl2Hg3Pb2 crystal, from Alexandria via LeMat-Bulk.

## Properties
Energy above the lowest structure with this stoichiometry, meV/atom: 0
Electronic total energy, Ry per atom: -0.135
SG: C2/m, No. 12
ΔE_f, meV/atom: 28

Lattice parameters (Å, degrees): 6.0078 6.0078 10.9454 104.40 104.40 32.24
Closest atoms and distances in Å follow each position.
Element x y z (fractional)
Tl 0.1499 0.1499 0.0772  5 Tl 3.34-3.61, 5 Pb 3.41-3.64, 2 Hg 3.49
Tl 0.8501 0.8501 0.9228  5 Tl 3.34-3.61, 5 Pb 3.41-3.64, 2 Hg 3.49
Hg 0.0000 0.0000 0.5000  4 Hg 3.09-3.34, 4 Pb 3.34
Hg 0.2708 0.2708 0.6326  5 Hg 3.09-3.34, 1 Pb 3.20
Hg 0.7292 0.7292 0.3674  5 Hg 3.09-3.34, 1 Pb 3.20
Pb 0.4487 0.4487 0.2272  3 Hg 3.20-3.34, 2 Pb 3.34, 3 Tl 3.41-3.58
Pb 0.5513 0.5513 0.7728  3 Hg 3.20-3.34, 2 Pb 3.34, 3 Tl 3.41-3.58